# HoSc4Se5 (PBE-GGA, relaxed)
data_HoSc4Se5
_cell_length_a 3.9147
_cell_length_b 3.9147
_cell_length_c 47.8175
_cell_angle_alpha 90.00
_cell_angle_beta 90.00
_cell_angle_gamma 120.00
_space_group_name_H-M_alt 'R -3 m'
_space_group_IT_number 166
_space_group_name_Hall '-R 3 2"'
loop_
_atom_site_label
_atom_site_type_symbol
_atom_site_fract_x
_atom_site_fract_y
_atom_site_fract_z
_atom_site_occupancy
Ho1 Ho 0.0000 0.0000 0.0000 1
Sc1 Sc 0.0000 0.0000 0.1994 1
Sc2 Sc 0.0000 0.0000 0.4020 1
Se1 Se 0.0000 0.0000 0.1014 1
Se2 Se 0.0000 0.0000 0.2970 1
Se3 Se 0.0000 0.0000 0.5000 1
# - formation energy without anion corrections (eV per atom) = -1.615
# - magnetization (μB per cell) = 0.000
# - energy above the lowest structure with this stoichiometry (kJ/mol of atoms) = 0.0
# - mass density (Mg/m³) = 5.805